## CsAlCu3 (PBE)

Data for a relaxed structure of CsAlCu3.

```
CsAlCu3
1.0
5.464 0.000 0.000
0.000 5.464 0.000
0.000 0.000 5.464
Cs Al Cu
1 1 3
Direct
0.000 0.000 0.000 Cs
0.500 0.500 0.500 Al
0.000 0.000 0.500 Cu
0.000 0.500 0.000 Cu
0.500 0.000 0.000 Cu
```

offset from the most stable computed form = 1379 meV/atom
total moment = 0.0 μB/f.u.
E_tot = -1.54 eV/atom
energy of formation = 1.83 eV/atom